Entry 1:
First-principles (GGA-PBE) data for a relaxed NaSrBiPd crystal, as listed in OQMD via LeMat-Bulk.

a b c (Å): 5.177 5.177 5.177
angles (deg): 60.00 60.00 60.00
Fractional coordinates of all 4 atoms:
Na 0.000 0.000 0.000
Sr 0.750 0.750 0.750
Bi 0.250 0.250 0.250
Pd 0.500 0.500 0.500

Computed properties:
**Electronic total energy**: -3.57 eV/atom

Entry 2:
First-principles (GGA-PBE) data for a relaxed NaSrBiPd crystal, as listed in OQMD via LeMat-Bulk.

a b c (Å): 5.356 5.356 5.356
angles (deg): 60.00 60.00 60.00
Fractional coordinates of all 4 atoms:
Na 0.000 0.000 0.000
Sr 0.500 0.500 0.500
Bi 0.750 0.750 0.750
Pd 0.250 0.250 0.250

Computed properties:
**Electronic total energy**: -3.42 eV/atom

Entry 3:
First-principles (GGA-PBE) data for a relaxed NaSrBiPd crystal, as listed in OQMD via LeMat-Bulk.

a b c (Å): 5.219 5.219 5.219
angles (deg): 60.00 60.00 60.00
Fractional coordinates of all 4 atoms:
Na 0.000 0.000 0.000
Sr 0.750 0.750 0.750
Bi 0.500 0.500 0.500
Pd 0.250 0.250 0.250

Computed properties:
**Electronic total energy**: -3.48 eV/atom